Record 1
The following is a DFT calculation (PBE) of crystalline RhSe at its relaxed geometry.

Cell lengths 6.2313, 6.8534, 7.4559 Å; angles 90.00, 90.00, 90.00 degrees
Sites, in units of the cell vectors:
Rh 0.0320 0.1520 0.3653
Rh 0.1765 0.5420 0.8058
Rh 0.3235 0.4580 0.3058
Rh 0.4680 0.8480 0.8653
Rh 0.5320 0.3480 0.6347
Rh 0.6765 0.9580 0.1942
Rh 0.8235 0.0420 0.6942
Rh 0.9680 0.6520 0.1347
Se 0.0694 0.8691 0.8922
Se 0.0916 0.3237 0.0742
Se 0.4084 0.6763 0.5742
Se 0.4306 0.1309 0.3922
Se 0.5694 0.6309 0.1078
Se 0.5916 0.1763 0.9258
Se 0.9084 0.8237 0.4258
Se 0.9306 0.3691 0.6078

Properties
* formation energy (no corrections): -0.171 eV/atom
* magnetic moment: 0.00 μB/f.u.
* electronic total energy: -5.59 eV/atom
* calculated volume: 318 Å³ per cell
* space-group type: P2_12_12_1, No. 19



Record 2
The following is a DFT calculation (PBE) of crystalline Pm2GeSb at its relaxed geometry.

Cell lengths 12.1445, 12.1445, 4.2534 Å; angles 90.00, 90.00, 158.60 degrees
Sites, in units of the cell vectors:
Pm 0.0609 0.9391 0.7500
Pm 0.3207 0.6793 0.7500
Pm 0.6793 0.3207 0.2500
Pm 0.9391 0.0609 0.2500
Ge 0.4597 0.5403 0.7500
Ge 0.5403 0.4597 0.2500
Sb 0.1889 0.8111 0.7500
Sb 0.8111 0.1889 0.2500

Properties
* formation energy (no corrections): -0.970 eV/atom
* magnetic moment: 0.00 μB/f.u.
* electronic total energy: -5.53 eV/atom
* calculated volume: 229 Å³ per cell
* space-group type: Cmcm, No. 63



Record 3
The following is a DFT calculation (PBE) of crystalline Gd2LuHf at its relaxed geometry.

Cell lengths 3.4129, 3.4129, 9.7452 Å; angles 90.00, 90.00, 90.00 degrees
Sites, in units of the cell vectors:
Gd 0.0000 0.0000 0.2336
Gd 0.0000 0.0000 0.7664
Lu 0.5000 0.5000 0.5000
Hf 0.5000 0.5000 0.0000

Properties
* formation enthalpy at 0 K: 121 meV/atom
* magnetic moment: 14.38 μB/f.u.
* electronic total energy: -10.54 eV/atom
* calculated volume: 114 Å³ per cell
* space-group type: P4/mmm, No. 123